Computed, not measured: a relaxed structure of HoTmPd at the PBE level of DFT.

The value obtained for the formation energy from the elements is -0.417 eV/atom. The value obtained for the energy above the most stable polymorph in this dataset is 49 kJ/mol of formula units.

Cell lengths 4.769, 4.769, 3.703 Å; angles 90.00, 90.00, 120.00 degrees
Positions (direct):
Ho: 0.000 0.000 0.000
Tm: 0.667 0.333 0.533
Pd: 0.333 0.667 0.283

Computed, not measured: a relaxed structure of CaCdRe2 at the PBE level of DFT.

The value obtained for the formation energy from the elements is 0.823 eV/atom.

Cell lengths 10.230, 10.230, 10.230 Å; angles 16.17, 16.17, 16.17 degrees
Positions (direct):
Ca: 0.000 0.000 0.000
Cd: 0.500 0.500 0.500
Re: 0.247 0.247 0.247
Re: 0.753 0.753 0.753